This record from Alexandria via LeMat-Bulk describes a relaxed structure of NiSNF2. The functional is GGA+U.

Calculated values
M_tot	0.46	μB per atom
energy above the most stable polymorph in this dataset	0.00	kJ per mole of atoms
symmetry	P4/mmm, No. 123
raw total energy	-18.00	eV per cell

```
data_NiSNF2
_cell_length_a 3.7981
_cell_length_b 3.7981
_cell_length_c 4.2920
_cell_angle_alpha 90.00
_cell_angle_beta 90.00
_cell_angle_gamma 90.00
_space_group_name_H-M_alt 'P 1'
_space_group_IT_number 1
_space_group_name_Hall 'P 1'
loop_
_atom_site_label
_atom_site_fract_x
_atom_site_fract_y
_atom_site_fract_z
_atom_site_occupancy
Ni1 0.0000 0.0000 0.0000 1
S1 0.5000 0.5000 0.5000 1
N1 0.0000 0.0000 0.5000 1
F1 0.0000 0.5000 0.0000 1
F2 0.5000 0.0000 0.0000 1
```